P | First-principles (PBE) data for an optimized crystal structure of MgTa2Ga2, as listed in Alexandria.

Its space group is P4/mbm, No. 127. The magnetic moment comes out at 0.00 μB/cell.

abc: 7.9822 7.9822 2.9296
angles: 90.00 90.00 90.00
Fractional coordinates of all 10 atoms:
Ga 0.8235 0.3235 0.5000
Ga 0.3235 0.1765 0.5000
Ga 0.1765 0.6765 0.5000
Ga 0.6765 0.8235 0.5000
Ta 0.8802 0.6198 0.0000
Ta 0.1198 0.3802 0.0000
Ta 0.3802 0.8802 0.0000
Ta 0.6198 0.1198 0.0000
Mg 0.0000 0.0000 0.0000
Mg 0.5000 0.5000 0.0000

Q | First-principles (PBE) data for an optimized crystal structure of MgTa2Ga2, as listed in Alexandria.

Its space group is P4/mbm, No. 127. The magnetic moment comes out at 0.00 μB/cell.

abc: 6.8218 6.8218 3.6970
angles: 90.00 90.00 90.00
Fractional coordinates of all 10 atoms:
Ga 0.6311 0.1311 0.0000
Ga 0.8689 0.6311 0.0000
Ga 0.3689 0.8689 0.0000
Ga 0.1311 0.3689 0.0000
Ta 0.3331 0.1669 0.5000
Ta 0.8331 0.3331 0.5000
Ta 0.6669 0.8331 0.5000
Ta 0.1669 0.6669 0.5000
Mg 0.5000 0.5000 0.0000
Mg 0.0000 0.0000 0.0000

Q comes first in stability; the runner-up is 0.073 eV/atom higher.

P | First-principles (PBE) data for an optimized crystal structure of Mg3TaGa, as listed in Alexandria.

Its space group is Pm-3m, No. 221. The magnetic moment comes out at 0.00 μB/cell.

abc: 4.8525 4.8525 4.8525
angles: 90.00 90.00 90.00
Fractional coordinates of all 5 atoms:
Ta 0.5000 0.5000 0.5000
Mg 0.5000 0.0000 0.0000
Mg 0.0000 0.5000 0.0000
Mg 0.0000 0.0000 0.5000
Ga 0.0000 0.0000 0.0000

Q | First-principles (PBE) data for an optimized crystal structure of Mg3TaGa, as listed in Alexandria.

Its space group is Pm-3m, No. 221. The magnetic moment comes out at 3.85 μB/cell.

abc: 5.4757 5.4757 5.4757
angles: 90.00 90.00 90.00
Each line ends with the local moment (μB).
Fractional coordinates of all 5 atoms:
Ta 0.0000 0.0000 0.0000  1.92
Mg 0.0000 0.5000 0.0000  0.04
Mg 0.5000 0.0000 0.0000  0.07
Mg 0.0000 0.0000 0.5000  0.01
Ga 0.5000 0.5000 0.5000  0.03

P comes first in stability; the runner-up is 0.325 eV/atom higher.

P | First-principles (PBE) data for an optimized crystal structure of MgTa3Ga, as listed in Alexandria.

Its space group is Pm-3m, No. 221. The magnetic moment comes out at 0.00 μB/cell.

abc: 4.7697 4.7697 4.7697
angles: 90.00 90.00 90.00
Fractional coordinates of all 5 atoms:
Ta 0.5000 0.0000 0.0000
Ta 0.0000 0.0000 0.5000
Ta 0.0000 0.5000 0.0000
Ga 0.0000 0.0000 0.0000
Mg 0.5000 0.5000 0.5000

Q | First-principles (PBE) data for an optimized crystal structure of MgTa3Ga, as listed in Alexandria.

Its space group is Pm-3m, No. 221. The magnetic moment comes out at 0.00 μB/cell.

abc: 4.7044 4.7044 4.7044
angles: 90.00 90.00 90.00
Fractional coordinates of all 5 atoms:
Ta 0.0000 0.5000 0.0000
Ta 0.5000 0.0000 0.0000
Ta 0.0000 0.0000 0.5000
Mg 0.0000 0.0000 0.0000
Ga 0.5000 0.5000 0.5000

P comes first in stability; the runner-up is 0.681 eV/atom higher.

P | First-principles (PBE) data for an optimized crystal structure of TbMg2Ga, as listed in Alexandria.

Its space group is P4/mmm, No. 123. The magnetic moment comes out at 0.00 μB/cell.

abc: 4.7940 4.3489 4.3489
angles: 90.00 90.00 90.00
Fractional coordinates of all 4 atoms:
Mg 0.0000 0.5000 0.0000
Mg 0.0000 0.0000 0.5000
Tb 0.5000 0.0000 0.0000
Ga 0.5000 0.5000 0.5000

Q | First-principles (PBE) data for an optimized crystal structure of TbMg2Ga, as listed in Alexandria.

Its space group is R-3m, No. 166. The magnetic moment comes out at 0.00 μB/cell.

abc: 3.2037 3.2037 11.1456
angles: 81.74 81.74 60.00
Fractional coordinates of all 4 atoms:
Mg 0.9023 0.9023 0.2932
Mg 0.0977 0.0977 0.7068
Tb 0.0000 0.0000 0.0000
Ga 0.5000 0.5000 0.5000

P comes first in stability; the runner-up is 0.421 eV/atom higher.

P | First-principles (PBE) data for an optimized crystal structure of TbMgTlGa, as listed in Alexandria.

Its space group is F-43m, No. 216. The magnetic moment comes out at 0.00 μB/cell.

abc: 5.1137 5.1137 5.1137
angles: 60.00 60.00 60.00
Fractional coordinates of all 4 atoms:
Mg 0.2500 0.2500 0.2500
Ga 0.0000 0.0000 0.0000
Tl 0.5000 0.5000 0.5000
Tb 0.7500 0.7500 0.7500

Q | First-principles (PBE) data for an optimized crystal structure of TbMgTlGa, as listed in Alexandria.

Its space group is Pmmm, No. 47. The magnetic moment comes out at 0.00 μB/cell.

abc: 4.3687 4.5047 4.6980
angles: 90.00 90.00 90.00
Fractional coordinates of all 4 atoms:
Tl 0.5000 0.0000 0.5000
Ga 0.5000 0.5000 0.0000
Tb 0.0000 0.0000 0.0000
Mg 0.0000 0.5000 0.5000

Q comes first in stability; the runner-up is 0.072 eV/atom higher.

P | First-principles (PBE) data for an optimized crystal structure of MgGaTc2, as listed in Alexandria.

Its space group is I-42d, No. 122. The magnetic moment comes out at 0.00 μB/cell.

abc: 7.1732 7.1732 5.6924
angles: 50.94 50.94 90.00
Fractional coordinates of all 8 atoms:
Tc 0.3750 0.3452 0.7500
Tc 0.6548 0.1250 0.2500
Tc 0.8750 0.9048 0.7500
Tc 0.0952 0.6250 0.2500
Ga 0.0000 0.0000 0.0000
Ga 0.7500 0.2500 0.5000
Mg 0.2500 0.7500 0.5000
Mg 0.5000 0.5000 0.0000

Q | First-principles (PBE) data for an optimized crystal structure of MgGaTc2, as listed in Alexandria.

Its space group is Fm-3m, No. 225. The magnetic moment comes out at 1.78 μB/cell.

abc: 4.4064 4.4064 4.4064
angles: 60.00 60.00 60.00
Each line ends with the local moment (μB).
Fractional coordinates of all 4 atoms:
Mg 0.0000 0.0000 0.0000  0.00
Tc 0.2500 0.2500 0.2500  0.79
Tc 0.7500 0.7500 0.7500  0.79
Ga 0.5000 0.5000 0.5000  -0.01

Q comes first in stability; the runner-up is 0.261 eV/atom higher.

P | First-principles (PBE) data for an optimized crystal structure of MgGaTc3, as listed in Alexandria.

Its space group is Pm-3m, No. 221. The magnetic moment comes out at 5.18 μB/cell.

abc: 4.5484 4.5484 4.5484
angles: 90.00 90.00 90.00
Each line ends with the local moment (μB).
Fractional coordinates of all 5 atoms:
Tc 0.0000 0.0000 0.5000  1.80
Tc 0.5000 0.0000 0.0000  1.31
Tc 0.0000 0.5000 0.0000  1.63
Ga 0.5000 0.5000 0.5000  -0.06
Mg 0.0000 0.0000 0.0000  0.01

Q | First-principles (PBE) data for an optimized crystal structure of MgGaTc3, as listed in Alexandria.

Its space group is Pm-3m, No. 221. The magnetic moment comes out at 3.34 μB/cell.

abc: 4.5899 4.5899 4.5899
angles: 90.00 90.00 90.00
Each line ends with the local moment (μB).
Fractional coordinates of all 5 atoms:
Tc 0.0000 0.0000 0.5000  1.20
Tc 0.0000 0.5000 0.0000  1.07
Tc 0.5000 0.0000 0.0000  0.86
Ga 0.0000 0.0000 0.0000  0.00
Mg 0.5000 0.5000 0.5000  -0.02

Q comes first in stability; the runner-up is 0.599 eV/atom higher.

P | First-principles (PBE) data for an optimized crystal structure of MgGaTe3, as listed in Alexandria.

Its space group is Pm-3m, No. 221. The magnetic moment comes out at 0.00 μB/cell.

abc: 5.3944 5.3944 5.3944
angles: 90.00 90.00 90.00
Fractional coordinates of all 5 atoms:
Te 0.0000 0.5000 0.0000
Te 0.5000 0.0000 0.0000
Te 0.0000 0.0000 0.5000
Mg 0.5000 0.5000 0.5000
Ga 0.0000 0.0000 0.0000

Q | First-principles (PBE) data for an optimized crystal structure of MgGaTe3, as listed in Alexandria.

Its space group is Amm2, No. 38. The magnetic moment comes out at 0.00 μB/cell.

abc: 4.5147 7.7269 7.7269
angles: 129.48 90.00 90.00
Fractional coordinates of all 5 atoms:
Te 0.0000 0.2068 0.7932
Te 0.5000 0.1951 0.2931
Te 0.5000 0.7069 0.8049
Mg 0.0000 0.4122 0.5878
Ga 0.5000 0.1071 0.8929

Q comes first in stability; the runner-up is 0.569 eV/atom higher.

P | First-principles (PBE) data for an optimized crystal structure of Mg2Ga2Te, as listed in Alexandria.

Its space group is I4/mmm, No. 139. The magnetic moment comes out at 0.00 μB/cell.

abc: 4.4897 4.4897 6.6711
angles: 70.34 70.34 90.00
Fractional coordinates of all 5 atoms:
Mg 0.2500 0.7500 0.5000
Mg 0.7500 0.2500 0.5000
Ga 0.6030 0.6030 0.7940
Ga 0.3970 0.3970 0.2060
Te 0.0000 0.0000 0.0000

Q | First-principles (PBE) data for an optimized crystal structure of Mg2Ga2Te, as listed in Alexandria.

Its space group is P4/mbm, No. 127. The magnetic moment comes out at 0.00 μB/cell.

abc: 7.5959 7.5959 4.1272
angles: 90.00 90.00 90.00
Fractional coordinates of all 10 atoms:
Ga 0.8665 0.3665 0.5000
Ga 0.6335 0.8665 0.5000
Ga 0.1335 0.6335 0.5000
Ga 0.3665 0.1335 0.5000
Mg 0.3462 0.8462 0.0000
Mg 0.1538 0.3462 0.0000
Mg 0.8462 0.6538 0.0000
Mg 0.6538 0.1538 0.0000
Te 0.0000 0.0000 0.0000
Te 0.5000 0.5000 0.0000

Q comes first in stability; the runner-up is 0.072 eV/atom higher.

P | First-principles (PBE) data for an optimized crystal structure of ThMg2Ga, as listed in Alexandria.

Its space group is R-3m, No. 166. The magnetic moment comes out at 0.00 μB/cell.

abc: 3.2416 3.2416 11.2745
angles: 81.73 81.73 60.00
Fractional coordinates of all 4 atoms:
Ga 0.5000 0.5000 0.5000
Th 0.0000 0.0000 0.0000
Mg 0.9008 0.9008 0.2975
Mg 0.0992 0.0992 0.7025

Q | First-principles (PBE) data for an optimized crystal structure of ThMg2Ga, as listed in Alexandria.

Its space group is P4/mmm, No. 123. The magnetic moment comes out at 0.00 μB/cell.

abc: 4.8672 4.4805 4.4805
angles: 90.00 90.00 90.00
Fractional coordinates of all 4 atoms:
Th 0.5000 0.5000 0.5000
Mg 0.0000 0.0000 0.5000
Mg 0.0000 0.5000 0.0000
Ga 0.5000 0.0000 0.0000

Q comes first in stability; the runner-up is 0.324 eV/atom higher.

P | First-principles (PBE) data for an optimized crystal structure of MgTi3Ga, as listed in Alexandria.

Its space group is Pm-3m, No. 221. The magnetic moment comes out at 0.00 μB/cell.

abc: 4.7832 4.7832 4.7832
angles: 90.00 90.00 90.00
Fractional coordinates of all 5 atoms:
Ti 0.0000 0.5000 0.0000
Ti 0.5000 0.0000 0.0000
Ti 0.0000 0.0000 0.5000
Mg 0.5000 0.5000 0.5000
Ga 0.0000 0.0000 0.0000

Q | First-principles (PBE) data for an optimized crystal structure of MgTi3Ga, as listed in Alexandria.

Its space group is Pm-3m, No. 221. The magnetic moment comes out at 0.00 μB/cell.

abc: 4.7250 4.7250 4.7250
angles: 90.00 90.00 90.00
Fractional coordinates of all 5 atoms:
Ti 0.0000 0.5000 0.0000
Ti 0.0000 0.0000 0.5000
Ti 0.5000 0.0000 0.0000
Ga 0.5000 0.5000 0.5000
Mg 0.0000 0.0000 0.0000

P comes first in stability; the runner-up is 0.614 eV/atom higher.

P | First-principles (PBE) data for an optimized crystal structure of Mg7Tl2Ga, as listed in Alexandria.

Its space group is P3m1, No. 156. The magnetic moment comes out at 0.00 μB/cell.

abc: 4.8426 4.8426 11.8028
angles: 90.00 90.00 120.00
Fractional coordinates of all 10 atoms:
Mg 0.3333 0.6667 0.4091
Mg 0.3333 0.6667 0.8926
Mg 0.0000 0.0000 0.2374
Mg 0.3333 0.6667 0.1434
Mg 0.6667 0.3333 0.5724
Mg 0.6667 0.3333 0.0336
Mg 0.0000 0.0000 0.7428
Ga 0.0000 0.0000 0.9901
Tl 0.6667 0.3333 0.3104
Tl 0.3333 0.6667 0.6516

Q | First-principles (PBE) data for an optimized crystal structure of Mg7Tl2Ga, as listed in Alexandria.

Its space group is Fm-3m, No. 225. The magnetic moment comes out at 0.00 μB/cell.

abc: 7.4175 7.4175 7.4175
angles: 60.00 60.00 60.00
Fractional coordinates of all 10 atoms:
Tl 0.2500 0.2500 0.2500
Tl 0.7500 0.7500 0.7500
Mg 0.7567 0.2433 0.7567
Mg 0.2433 0.7567 0.2433
Mg 0.5000 0.5000 0.5000
Mg 0.2433 0.2433 0.7567
Mg 0.7567 0.7567 0.2433
Mg 0.2433 0.7567 0.7567
Mg 0.7567 0.2433 0.2433
Ga 0.0000 0.0000 0.0000

P comes first in stability; the runner-up is 0.295 eV/atom higher.